Zn2FeRu: PBEsol geometry, meta-GGA SCAN.

```
data_Zn2FeRu
_cell_length_a 4.156
_cell_length_b 4.156
_cell_length_c 4.156
_cell_angle_alpha 60.00
_cell_angle_beta 60.00
_cell_angle_gamma 60.00
_space_group_name_H-M_alt 'P 1'
_space_group_IT_number 1
_space_group_name_Hall 'P 1'
loop_
_atom_site_label
_atom_site_fract_x
_atom_site_fract_y
_atom_site_fract_z
Zn1 0.250 0.250 0.250
Zn2 0.750 0.750 0.750
Fe1 0.000 0.000 0.000
Ru1 0.500 0.500 0.500
```

Properties
- offset from the most stable computed form (eV per atom) = 0.0997
- total moment (μB/f.u.) = 3.20
- ΔE_f (meV/atom) = 25
- final energy (eV for the cell shown) = -79.9
- V (Å³/cell) = 50.8
- density (g cm⁻³) = 9.413

ZnFe2Ru: PBEsol geometry, meta-GGA SCAN.

```
data_ZnFe2Ru
_cell_length_a 3.621
_cell_length_b 3.621
_cell_length_c 3.729
_cell_angle_alpha 90.00
_cell_angle_beta 90.00
_cell_angle_gamma 90.00
_space_group_name_H-M_alt 'P 1'
_space_group_IT_number 1
_space_group_name_Hall 'P 1'
loop_
_atom_site_label
_atom_site_fract_x
_atom_site_fract_y
_atom_site_fract_z
Zn1 0.000 0.000 0.000
Fe1 0.000 0.500 0.500
Fe2 0.500 0.000 0.500
Ru1 0.500 0.500 0.000
```

Properties
- total moment (μB/f.u.) = 6.31
- ΔE_f (meV/atom) = -22
- final energy (eV for the cell shown) = -84.7
- V (Å³/cell) = 48.9
- density (g cm⁻³) = 9.446

ZnFe2Ru: PBEsol geometry, meta-GGA SCAN.

```
data_ZnFe2Ru
_cell_length_a 4.481
_cell_length_b 4.481
_cell_length_c 4.481
_cell_angle_alpha 132.23
_cell_angle_beta 132.23
_cell_angle_gamma 69.87
_space_group_name_H-M_alt 'P 1'
_space_group_IT_number 1
_space_group_name_Hall 'P 1'
loop_
_atom_site_label
_atom_site_fract_x
_atom_site_fract_y
_atom_site_fract_z
Zn1 0.000 0.000 0.000
Fe1 0.250 0.750 0.500
Fe2 0.750 0.250 0.500
Ru1 0.500 0.500 0.000
```

Properties
- total moment (μB/f.u.) = 6.17
- ΔE_f (meV/atom) = 36
- final energy (eV for the cell shown) = -84.5
- V (Å³/cell) = 48.4
- density (g cm⁻³) = 9.549

Zn2FeRu: PBEsol geometry, meta-GGA SCAN.

```
data_Zn2FeRu
_cell_length_a 2.574
_cell_length_b 2.574
_cell_length_c 8.425
_cell_angle_alpha 90.00
_cell_angle_beta 90.00
_cell_angle_gamma 112.59
_space_group_name_H-M_alt 'P 1'
_space_group_IT_number 1
_space_group_name_Hall 'P 1'
loop_
_atom_site_label
_atom_site_fract_x
_atom_site_fract_y
_atom_site_fract_z
Zn1 0.000 0.000 0.243
Zn2 0.000 0.000 0.757
Fe1 0.500 0.500 0.000
Ru1 0.500 0.500 0.500
```

Properties
- offset from the most stable computed form (eV per atom) = 0.1507
- total moment (μB/f.u.) = 1.98
- ΔE_f (meV/atom) = 76
- final energy (eV for the cell shown) = -79.7
- V (Å³/cell) = 51.5
- density (g cm⁻³) = 9.271

ZnFe2Ru: PBEsol geometry, meta-GGA SCAN.

```
data_ZnFe2Ru
_cell_length_a 2.565
_cell_length_b 3.711
_cell_length_c 5.030
_cell_angle_alpha 90.00
_cell_angle_beta 90.00
_cell_angle_gamma 90.00
_space_group_name_H-M_alt 'P 1'
_space_group_IT_number 1
_space_group_name_Hall 'P 1'
loop_
_atom_site_label
_atom_site_fract_x
_atom_site_fract_y
_atom_site_fract_z
Zn1 0.000 0.000 0.000
Fe1 0.500 0.500 0.256
Fe2 0.500 0.500 0.744
Ru1 0.000 0.000 0.500
```

Properties
- total moment (μB/f.u.) = 4.95
- ΔE_f (meV/atom) = 63
- final energy (eV for the cell shown) = -84.3
- V (Å³/cell) = 47.9
- density (g cm⁻³) = 9.648

ZrFe2Ru: PBEsol geometry, meta-GGA SCAN.

```
data_ZrFe2Ru
_cell_length_a 4.183
_cell_length_b 4.183
_cell_length_c 3.144
_cell_angle_alpha 90.00
_cell_angle_beta 90.00
_cell_angle_gamma 90.00
_space_group_name_H-M_alt 'P 1'
_space_group_IT_number 1
_space_group_name_Hall 'P 1'
loop_
_atom_site_label
_atom_site_fract_x
_atom_site_fract_y
_atom_site_fract_z
Zr1 0.000 0.000 0.000
Fe1 0.000 0.500 0.500
Fe2 0.500 0.000 0.500
Ru1 0.500 0.500 0.000
```

Properties
- total moment (μB/f.u.) = 4.59
- ΔE_f (meV/atom) = -99
- final energy (eV for the cell shown) = -102.2
- V (Å³/cell) = 55.0
- density (g cm⁻³) = 9.173

ZrFe2Ru2: PBEsol geometry, meta-GGA SCAN.

```
data_ZrFe2Ru2
_cell_length_a 5.596
_cell_length_b 5.596
_cell_length_c 5.596
_cell_angle_alpha 140.30
_cell_angle_beta 140.30
_cell_angle_gamma 57.39
_space_group_name_H-M_alt 'P 1'
_space_group_IT_number 1
_space_group_name_Hall 'P 1'
loop_
_atom_site_label
_atom_site_fract_x
_atom_site_fract_y
_atom_site_fract_z
Zr1 0.000 0.000 0.000
Fe1 0.399 0.399 0.000
Fe2 0.601 0.601 0.000
Ru1 0.250 0.750 0.500
Ru2 0.750 0.250 0.500
```

Properties
- total moment (μB/f.u.) = 0.00
- ΔE_f (meV/atom) = 81
- final energy (eV for the cell shown) = -136.2
- V (Å³/cell) = 70.9
- density (g cm⁻³) = 9.489

ZrFe2Ru: PBEsol geometry, meta-GGA SCAN.

```
data_ZrFe2Ru
_cell_length_a 4.905
_cell_length_b 4.905
_cell_length_c 2.741
_cell_angle_alpha 99.55
_cell_angle_beta 99.55
_cell_angle_gamma 116.75
_space_group_name_H-M_alt 'P 1'
_space_group_IT_number 1
_space_group_name_Hall 'P 1'
loop_
_atom_site_label
_atom_site_fract_x
_atom_site_fract_y
_atom_site_fract_z
Zr1 0.000 0.000 0.000
Fe1 0.000 0.500 0.500
Fe2 0.500 0.000 0.500
Ru1 0.500 0.500 0.000
```

Properties
- total moment (μB/f.u.) = 4.99
- ΔE_f (meV/atom) = 22
- final energy (eV for the cell shown) = -101.7
- V (Å³/cell) = 55.9
- density (g cm⁻³) = 9.033

ZrFe4Ru: PBEsol geometry, meta-GGA SCAN.

```
data_ZrFe4Ru
_cell_length_a 4.761
_cell_length_b 4.761
_cell_length_c 4.761
_cell_angle_alpha 60.00
_cell_angle_beta 60.00
_cell_angle_gamma 60.00
_space_group_name_H-M_alt 'P 1'
_space_group_IT_number 1
_space_group_name_Hall 'P 1'
loop_
_atom_site_label
_atom_site_fract_x
_atom_site_fract_y
_atom_site_fract_z
Zr1 0.000 0.000 0.000
Fe1 0.376 0.376 0.376
Fe2 0.376 0.376 0.872
Fe3 0.376 0.872 0.376
Fe4 0.872 0.376 0.376
Ru1 0.750 0.750 0.750
```

Properties
- total moment (μB/f.u.) = 10.63
- ΔE_f (meV/atom) = -127
- final energy (eV for the cell shown) = -138.8
- V (Å³/cell) = 76.3
- density (g cm⁻³) = 9.047

ZrFe2Ru: PBEsol geometry, meta-GGA SCAN.

```
data_ZrFe2Ru
_cell_length_a 2.724
_cell_length_b 3.629
_cell_length_c 5.491
_cell_angle_alpha 90.00
_cell_angle_beta 90.00
_cell_angle_gamma 90.00
_space_group_name_H-M_alt 'P 1'
_space_group_IT_number 1
_space_group_name_Hall 'P 1'
loop_
_atom_site_label
_atom_site_fract_x
_atom_site_fract_y
_atom_site_fract_z
Zr1 0.000 0.000 0.000
Fe1 0.500 0.500 0.287
Fe2 0.500 0.500 0.713
Ru1 0.000 0.000 0.500
```

Properties
- total moment (μB/f.u.) = 4.55
- ΔE_f (meV/atom) = 146
- final energy (eV for the cell shown) = -101.2
- V (Å³/cell) = 54.3
- density (g cm⁻³) = 9.301

ScFeS3: PBEsol geometry, meta-GGA SCAN.

```
data_ScFeS3
_cell_length_a 4.798
_cell_length_b 4.798
_cell_length_c 4.798
_cell_angle_alpha 90.00
_cell_angle_beta 90.00
_cell_angle_gamma 90.00
_space_group_name_H-M_alt 'P 1'
_space_group_IT_number 1
_space_group_name_Hall 'P 1'
loop_
_atom_site_label
_atom_site_fract_x
_atom_site_fract_y
_atom_site_fract_z
Sc1 0.000 0.000 0.000
Fe1 0.500 0.500 0.500
S1 0.000 0.000 0.500
S2 0.000 0.500 0.000
S3 0.500 0.000 0.000
```

Properties
- offset from the most stable computed form (eV per atom) = 0.3414
- total moment (μB/f.u.) = 3.93
- final energy (eV for the cell shown) = -62.2
- V (Å³/cell) = 110.5
- density (g cm⁻³) = 2.961

ScFeS3: PBEsol geometry, meta-GGA SCAN.

```
data_ScFeS3
_cell_length_a 4.405
_cell_length_b 4.405
_cell_length_c 4.405
_cell_angle_alpha 90.00
_cell_angle_beta 90.00
_cell_angle_gamma 90.00
_space_group_name_H-M_alt 'P 1'
_space_group_IT_number 1
_space_group_name_Hall 'P 1'
loop_
_atom_site_label
_atom_site_fract_x
_atom_site_fract_y
_atom_site_fract_z
Sc1 0.000 0.000 0.000
Fe1 0.500 0.500 0.500
S1 0.000 0.500 0.500
S2 0.500 0.000 0.500
S3 0.500 0.500 0.000
```

Properties
- offset from the most stable computed form (eV per atom) = 0.0000
- total moment (μB/f.u.) = 3.01
- final energy (eV for the cell shown) = -63.9
- V (Å³/cell) = 85.5
- density (g cm⁻³) = 3.826

FeSeS2: PBEsol geometry, meta-GGA SCAN.

```
data_FeSeS2
_cell_length_a 7.720
_cell_length_b 7.720
_cell_length_c 7.720
_cell_angle_alpha 25.56
_cell_angle_beta 25.56
_cell_angle_gamma 25.56
_space_group_name_H-M_alt 'P 1'
_space_group_IT_number 1
_space_group_name_Hall 'P 1'
loop_
_atom_site_label
_atom_site_fract_x
_atom_site_fract_y
_atom_site_fract_z
Fe1 0.000 0.000 0.000
Se1 0.500 0.500 0.500
S1 0.093 0.093 0.093
S2 0.907 0.907 0.907
```

Properties
- offset from the most stable computed form (eV per atom) = 0.3867
- total moment (μB/f.u.) = 2.27
- final energy (eV for the cell shown) = -55.1
- V (Å³/cell) = 75.4
- density (g cm⁻³) = 4.381